[1]
Material: LiPu2AgS4
Method: DFT, PBE
State: relaxed

a = 6.4316 Å, b = 4.0319 Å, c = 6.9636 Å
α = 90.00°, β = 110.93°, γ = 90.00°
Space group P2/m (No. 10)
Inequivalent atoms, fractional coordinates:
1 Li 0.0000 0.0000 0.0000 [1 per cell]
2 Pu 0.5000 0.0000 0.5000 [1 per cell]
3 Pu 0.5000 0.5000 0.0000 [1 per cell]
4 Ag 0.0000 0.5000 0.5000 [1 per cell]
5 S 0.2539 0.5000 0.2470 [2 per cell]
6 S 0.2550 0.0000 0.7580 [2 per cell]

Summary:
raw formation energy = -1.31 eV per atom
crystal system = monoclinic


[2]
Material: LiPuAg2S4
Method: DFT, PBE
State: relaxed

a = 6.2608 Å, b = 3.9961 Å, c = 6.6461 Å
α = 90.00°, β = 109.01°, γ = 90.00°
Space group P2/m (No. 10)
Inequivalent atoms, fractional coordinates:
1 Li 0.0000 0.0000 0.0000 [1 per cell]
2 Pu 0.0000 0.5000 0.5000 [1 per cell]
3 Ag 0.5000 0.0000 0.5000 [1 per cell]
4 Ag 0.5000 0.5000 0.0000 [1 per cell]
5 S 0.2371 0.5000 0.2451 [2 per cell]
6 S 0.2400 0.0000 0.7410 [2 per cell]

Summary:
raw formation energy = -0.74 eV per atom
crystal system = monoclinic


[3]
Material: Li2PuAgS4
Method: DFT, PBE
State: relaxed

a = 5.3379 Å, b = 5.3379 Å, c = 10.5562 Å
α = 90.00°, β = 90.00°, γ = 90.00°
Space group I-4m2 (No. 119)
Inequivalent atoms, fractional coordinates:
1 Li 0.0000 0.0000 0.0000 [2 per cell]
2 Li 0.0000 0.5000 0.2500 [2 per cell]
3 Pu 0.0000 0.0000 0.5000 [2 per cell]
4 Ag 0.0000 0.5000 0.7500 [2 per cell]
5 S 0.0000 0.0000 0.2528 [4 per cell]
6 S 0.0000 0.5000 0.0060 [4 per cell]

Summary:
raw formation energy = -1.02 eV per atom
crystal system = tetragonal


[4]
Material: LiPuAgSb
Method: DFT, PBE
State: relaxed

a = 7.1786 Å, b = 7.1786 Å, c = 7.1786 Å
α = 90.00°, β = 90.00°, γ = 90.00°
Space group F-43m (No. 216)
Inequivalent atoms, fractional coordinates:
1 Li 0.0000 0.0000 0.0000 [4 per cell]
2 Pu 0.0000 0.0000 0.5000 [4 per cell]
3 Ag 0.2500 0.2500 0.7500 [4 per cell]
4 Sb 0.2500 0.2500 0.2500 [4 per cell]

Summary:
raw formation energy = -0.32 eV per atom
crystal system = cubic


[5]
Material: Li3Pu3AgSe8
Method: DFT, PBE
State: relaxed

a = 8.0592 Å, b = 8.0592 Å, c = 19.2995 Å
α = 90.00°, β = 90.00°, γ = 120.00°
Space group R-3m (No. 166, hexagonal axes)
Inequivalent atoms, fractional coordinates:
1 Li 0.0000 0.5000 0.0000 [9 per cell]
2 Pu 0.0000 0.5000 0.5000 [9 per cell]
3 Ag 0.0000 0.0000 0.5000 [3 per cell]
4 Se 0.0000 0.0000 0.2529 [6 per cell]
5 Se 0.0030 0.5015 0.7499 [18 per cell]

Summary:
raw formation energy = -1.10 eV per atom
crystal system = trigonal


[6]
Material: Li2PuAgSe4
Method: DFT, PBE
State: relaxed

a = 6.5420 Å, b = 4.0744 Å, c = 6.9178 Å
α = 90.00°, β = 108.97°, γ = 90.00°
Space group P2/m (No. 10)
Inequivalent atoms, fractional coordinates:
1 Li 0.0000 0.0000 0.0000 [1 per cell]
2 Li 0.5000 0.5000 0.0000 [1 per cell]
3 Pu 0.0000 0.5000 0.5000 [1 per cell]
4 Ag 0.5000 0.0000 0.5000 [1 per cell]
5 Se 0.2438 0.5000 0.2411 [2 per cell]
6 Se 0.2525 0.0000 0.7527 [2 per cell]

Summary:
raw formation energy = -0.91 eV per atom
crystal system = monoclinic


[7]
Material: LiPu3Ag3Se8
Method: DFT, PBE
State: relaxed

a = 8.2856 Å, b = 8.2856 Å, c = 18.6257 Å
α = 90.00°, β = 90.00°, γ = 120.00°
Space group R-3m (No. 166, hexagonal axes)
Inequivalent atoms, fractional coordinates:
1 Li 0.0000 0.0000 0.0000 [3 per cell]
2 Pu 0.0000 0.5000 0.0000 [9 per cell]
3 Ag 0.0000 0.5000 0.5000 [9 per cell]
4 Se 0.0000 0.0000 0.2489 [6 per cell]
5 Se 0.0031 0.5015 0.2537 [18 per cell]

Summary:
raw formation energy = -0.83 eV per atom
crystal system = trigonal


[8]
Material: LiPuAgSn
Method: DFT, PBE
State: relaxed

a = 7.1678 Å, b = 7.1678 Å, c = 7.1678 Å
α = 90.00°, β = 90.00°, γ = 90.00°
Space group F-43m (No. 216)
Inequivalent atoms, fractional coordinates:
1 Li 0.0000 0.0000 0.0000 [4 per cell]
2 Pu 0.0000 0.0000 0.5000 [4 per cell]
3 Ag 0.2500 0.2500 0.7500 [4 per cell]
4 Sn 0.2500 0.2500 0.2500 [4 per cell]

Summary:
crystal system = cubic
total DFT energy (no corrections) = -5.9284 eV per atom


Calculated values (μB/f.u.) of M_tot for the records, taken in order: 10.0, 3.0, 3.4, 5.5, 12.3, 3.4, 12.0, 5.5.